No. 1
Material: ZnHgP2
Method: DFT, PBE-GGA
State: relaxed

```
4
Lattice="0.000 3.307 3.307 3.307 0.000 3.307 3.307 3.307 0.000" Properties=species:S:1:pos:R:3 pbc="T T T"
Zn 0.000 0.000 0.000
Hg 3.307 3.307 3.307
P 1.653 1.653 1.653
P 4.960 4.960 4.960
```

Calculated values
For the calculated density, the calculation gives 7.53 g/cm3. For the total magnetization, the calculation gives 0.00 μB per cell. The offset from the most stable computed form is 0.6197 eV per atom.


No. 2
Material: ZnHgP
Method: DFT, PBE-GGA
State: relaxed

```
3
Lattice="4.019 0.000 0.000 -2.009 3.480 0.000 0.000 0.000 4.415" Properties=species:S:1:pos:R:3 pbc="T T T"
Zn 0.000 0.000 0.000
Hg 0.000 2.320 1.969
P 2.009 1.160 3.870
```

Calculated values
For the calculated density, the calculation gives 7.99 g/cm3. For the total magnetization, the calculation gives 0.00 μB per cell. The offset from the most stable computed form is 0.0000 eV per atom.


No. 3
Material: Zn2HgP
Method: DFT, PBE-GGA
State: relaxed

```
4
Lattice="3.538 0.000 0.000 0.000 3.538 0.000 0.000 0.000 6.487" Properties=species:S:1:pos:R:3 pbc="T T T"
Zn 0.000 0.000 0.000
Zn 1.769 1.769 2.358
Hg 0.000 0.000 3.562
P 1.769 1.769 0.009
```

Calculated values
For the calculated density, the calculation gives 7.41 g/cm3. For the total magnetization, the calculation gives 0.00 μB per cell.


No. 4
Material: ZnHg2P
Method: DFT, PBE-GGA
State: relaxed

```
4
Lattice="-1.723 2.009 6.242 1.723 -2.009 6.242 1.723 2.009 -6.242" Properties=species:S:1:pos:R:3 pbc="T T T"
Zn 0.000 0.000 0.000
Hg 0.000 0.000 5.070
Hg 0.000 2.009 2.723
P 1.723 0.000 1.783
```

Calculated values
For the calculated density, the calculation gives 9.56 g/cm3. For the total magnetization, the calculation gives 0.00 μB per cell. The offset from the most stable computed form is 0.2283 eV per atom.


No. 5
Material: ZnHg2P
Method: DFT, PBE-GGA
State: relaxed

```
4
Lattice="-2.152 2.152 4.354 2.152 -2.152 4.354 2.152 2.152 -4.354" Properties=species:S:1:pos:R:3 pbc="T T T"
Zn 0.000 0.000 0.000
Hg 2.152 0.000 2.177
Hg 0.000 2.152 2.177
P 0.000 0.000 4.354
```

Calculated values
For the calculated density, the calculation gives 10.24 g/cm3. For the total magnetization, the calculation gives 0.00 μB per cell. The offset from the most stable computed form is 0.3718 eV per atom.


No. 6
Material: ZnHgP2
Method: DFT, PBE-GGA
State: relaxed

```
4
Lattice="3.767 -1.641 0.000 3.767 1.641 0.000 -1.075 0.000 6.767" Properties=species:S:1:pos:R:3 pbc="T T T"
Zn 0.000 0.000 0.000
Hg 0.195 0.000 4.516
P 2.031 0.000 2.672
P 5.479 0.000 1.215
```

Calculated values
For the calculated density, the calculation gives 6.51 g/cm3. For the total magnetization, the calculation gives 0.00 μB per cell. The offset from the most stable computed form is 0.0246 eV per atom.


No. 7
Material: Zn2HgP
Method: DFT, PBE-GGA
State: relaxed

```
4
Lattice="-2.126 2.126 3.944 2.126 -2.126 3.944 2.126 2.126 -3.944" Properties=species:S:1:pos:R:3 pbc="T T T"
Zn 2.126 0.000 1.972
Zn 0.000 2.126 1.972
Hg 0.000 0.000 0.000
P 0.000 0.000 3.944
```

Calculated values
For the calculated density, the calculation gives 8.44 g/cm3. For the total magnetization, the calculation gives 0.00 μB per cell.


No. 8
Material: ZnHg2P
Method: DFT, PBE-GGA
State: relaxed

```
4
Lattice="0.000 3.459 3.459 3.459 0.000 3.459 3.459 3.459 0.000" Properties=species:S:1:pos:R:3 pbc="T T T"
Zn 0.000 0.000 0.000
Hg 3.459 3.459 3.459
Hg 5.189 5.189 5.189
P 1.730 1.730 1.730
```

Calculated values
For the calculated density, the calculation gives 9.98 g/cm3. For the total magnetization, the calculation gives 0.00 μB per cell. The offset from the most stable computed form is 0.4162 eV per atom.


No. 9
Material: Zn2HgP
Method: DFT, PBE-GGA
State: relaxed

```
4
Lattice="5.224 0.000 0.000 0.000 2.297 3.623 0.000 -2.297 3.623" Properties=species:S:1:pos:R:3 pbc="T T T"
Zn 0.000 0.000 0.000
Zn 2.612 0.000 2.458
Hg 2.612 0.000 5.032
P 0.000 0.000 2.454
```

Calculated values
For the calculated density, the calculation gives 6.92 g/cm3. For the total magnetization, the calculation gives 0.00 μB per cell.


No. 10
Material: ZnHg2P
Method: DFT, PBE-GGA
State: relaxed

```
4
Lattice="2.911 -3.915 0.000 2.911 3.915 0.000 -2.857 0.000 3.896" Properties=species:S:1:pos:R:3 pbc="T T T"
Zn 0.000 0.000 0.000
Hg 0.027 1.958 1.948
Hg 0.027 -1.958 1.948
P 2.911 0.000 0.000
```

Calculated values
For the calculated density, the calculation gives 9.30 g/cm3. For the total magnetization, the calculation gives 0.00 μB per cell. The offset from the most stable computed form is 0.2489 eV per atom.


No. 11
Material: Zn2HgP
Method: DFT, PBE-GGA
State: relaxed

```
8
Lattice="-3.079 3.079 5.201 3.079 -3.079 5.201 3.079 3.079 -5.201" Properties=species:S:1:pos:R:3 pbc="T T T"
Zn 4.619 1.113 -1.300
Zn 1.113 1.540 1.300
Zn -1.540 1.966 3.900
Zn 1.966 1.540 6.501
Hg 3.079 0.000 2.600
Hg 0.000 0.000 5.201
P 0.000 0.000 0.000
P 0.000 3.079 2.600
```

Calculated values
For the calculated density, the calculation gives 6.10 g/cm3. For the total magnetization, the calculation gives 0.00 μB per cell.


No. 12
Material: ZnHg2P
Method: DFT, PBE-GGA
State: relaxed

```
4
Lattice="1.959 -2.398 0.000 1.959 2.398 0.000 0.000 0.000 9.419" Properties=species:S:1:pos:R:3 pbc="T T T"
Zn 0.000 0.000 0.000
Hg 0.000 0.000 5.152
Hg 1.959 0.000 2.305
P 1.959 0.000 8.012
```

Calculated values
For the calculated density, the calculation gives 9.34 g/cm3. For the total magnetization, the calculation gives 0.00 μB per cell. The offset from the most stable computed form is 0.2279 eV per atom.


Number 1: formation energy 0.681 eV/atom. Number 2: formation energy 0.157 eV/atom. Number 3: formation energy 0.151 eV/atom. Number 4: formation energy 0.269 eV/atom. Number 5: formation energy 0.412 eV/atom. Number 6: formation energy 0.086 eV/atom. Number 7: formation energy 0.324 eV/atom. Number 8: formation energy 0.456 eV/atom. Number 9: formation energy 0.151 eV/atom. Number 10: formation energy 0.289 eV/atom. Number 11: formation energy 0.086 eV/atom. Number 12: formation energy 0.268 eV/atom.